A relaxed ReAsSe2 crystal. Source: Alexandria via LeMat-Bulk, functional PBEsol.

## Properties
Calculated volume ... 17.674 A^3/atom
N(E_F) ... 0.958 states/eV/atom
Space group ... No. 139
DFT total energy ... -5.971 eV/atom
Raw formation energy ... 0.564 eV/atom

Unit cell a=4.512 b=4.512 c=4.512 alpha=109.38 beta=109.38 gamma=109.65
Atoms (fractional coordinates):
Re  0.000  0.000  0.000
As  0.500  0.500  0.000
Se  0.000  0.500  0.500
Se  0.500  0.000  0.500